Entry 1:
Entry from the Alexandria database: a geometry-optimized KSr2In structure (GGA-PBE).

Output
The value obtained for the energy of formation from the pure elements is -0.0297 eV/atom. As for the crystal system: tetragonal.

a = 5.9712 Å, b = 5.9712 Å, c = 4.6771 Å
α = 90.00°, β = 90.00°, γ = 90.00°
Last column: nearest neighbours and their distance in Å.
Space group P4/mmm (No. 123)
Symmetry-distinct sites (fractional):
1 K 0.0000 0.0000 0.0000 [1 per cell]  8 Sr 3.79, 4 In 4.22
2 Sr 0.0000 0.5000 0.5000 [2 per cell]  4 In 3.79, 4 K 3.79, 4 Sr 4.22
3 In 0.5000 0.5000 0.0000 [1 per cell]  8 Sr 3.79, 4 K 4.22


Entry 2:
Entry from the Alexandria database: a geometry-optimized K3SrIn8 structure (GGA-PBE).

Output
The value obtained for the energy of formation from the pure elements is -0.1891 eV/atom. As for the crystal system: trigonal.

a = 6.4302 Å, b = 6.4302 Å, c = 31.2444 Å
α = 90.00°, β = 90.00°, γ = 120.00°
Last column: nearest neighbours and their distance in Å.
Space group R3m (No. 160, hexagonal axes)
Symmetry-distinct sites (fractional):
1 K 0.0000 0.0000 0.0000 [3 per cell]  12 In 3.76-3.79, 4 K 3.85-3.91
2 K 0.0000 0.0000 0.1233 [3 per cell]  12 In 3.71-3.77, 1 K 3.85, 3 Sr 3.97
3 K 0.0000 0.0000 0.6270 [3 per cell]  12 In 3.75-3.81, 3 K 3.91, 1 Sr 3.92
4 Sr 0.0000 0.0000 0.5013 [3 per cell]  12 In 3.72-3.78, 4 K 3.92-3.97
5 In 0.0000 0.0000 0.3144 [3 per cell]  6 In 3.19-3.27
6 In 0.0000 0.0000 0.8118 [3 per cell]  6 In 3.14-3.19
7 In 0.0017 0.5008 0.0643 [9 per cell]  6 In 3.14-3.23
8 In 0.1675 0.3349 0.8948 [9 per cell]  6 In 3.19-3.27


Entry 3:
Entry from the Alexandria database: a geometry-optimized KSrIn6 structure (GGA-PBE).

Output
The value obtained for the energy of formation from the pure elements is -0.1979 eV/atom. As for the crystal system: orthorhombic.

a = 4.9564 Å, b = 6.8002 Å, c = 7.3234 Å
α = 90.00°, β = 90.00°, γ = 90.00°
Last column: nearest neighbours and their distance in Å.
Space group Pmm2 (No. 25)
Symmetry-distinct sites (fractional):
1 K 0.0000 0.0000 0.0000 [1 per cell]  10 In 3.56-3.81
2 Sr 0.5000 0.5000 0.1849 [1 per cell]  10 In 3.54-3.81
3 In 0.0000 0.2681 0.4566 [2 per cell]  6 In 3.15-3.21
4 In 0.0000 0.5000 0.8389 [1 per cell]  6 In 3.16-3.21
5 In 0.5000 0.0000 0.3490 [1 per cell]  6 In 3.18-3.20
6 In 0.5000 0.2383 0.7251 [2 per cell]  6 In 3.16-3.24


Entry 4:
Entry from the Alexandria database: a geometry-optimized KSr2In structure (GGA-PBE).

Output
The value obtained for the energy of formation from the pure elements is -0.0630 eV/atom. As for the crystal system: orthorhombic.

a = 4.1693 Å, b = 6.1678 Å, c = 14.3533 Å
α = 90.00°, β = 90.00°, γ = 90.00°
Last column: nearest neighbours and their distance in Å.
Space group Imm2 (No. 44)
Symmetry-distinct sites (fractional):
1 K 0.0000 0.0000 0.0000 [2 per cell]  2 In 3.60
2 Sr 0.0000 0.0000 0.6106 [2 per cell]  2 In 3.37
3 Sr 0.0000 0.5000 0.8063 [2 per cell]  4 In 3.73, 2 K 4.15, 4 Sr 4.17
4 In 0.0000 0.5000 0.2952 [2 per cell]  6 Sr 3.37-3.73, 2 K 3.60


Entry 5:
Entry from the Alexandria database: a geometry-optimized KSr2In structure (GGA-PBE).

Output
The value obtained for the energy of formation from the pure elements is 0.1725 eV/atom. As for the crystal system: tetragonal.

a = 5.4527 Å, b = 5.4527 Å, c = 25.2497 Å
α = 90.00°, β = 90.00°, γ = 90.00°
Last column: nearest neighbours and their distance in Å.
Space group I-42d (No. 122)
Symmetry-distinct sites (fractional):
1 K 0.0000 0.0000 0.0000 [4 per cell]  4 Sr 3.74, 4 In 3.86
2 Sr 0.2277 0.2500 0.6250 [8 per cell]  2 In 3.66, 4 Sr 3.69-4.03, 2 K 3.74
3 In 0.0000 0.0000 0.5000 [4 per cell]  4 Sr 3.66, 4 K 3.86


Entry 6:
Entry from the Alexandria database: a geometry-optimized KSr2In structure (GGA-PBE).

Output
The value obtained for the energy of formation from the pure elements is -0.0666 eV/atom. As for the crystal system: tetragonal.

a = 4.3512 Å, b = 4.3512 Å, c = 10.1075 Å
α = 90.00°, β = 90.00°, γ = 90.00°
Last column: nearest neighbours and their distance in Å.
Space group P4mm (No. 99)
Symmetry-distinct sites (fractional):
1 K 0.0000 0.0000 0.0000 [1 per cell]  1 Sr 3.89, 4 In 3.89, 4 K 4.35
2 Sr 0.0000 0.0000 0.6149 [1 per cell]  4 In 3.42
3 Sr 0.5000 0.5000 0.3357 [1 per cell]  8 Sr 4.17-4.35, 1 In 4.33, 4 K 4.58
4 In 0.5000 0.5000 0.7637 [1 per cell]  4 Sr 3.42


Entry 7:
Entry from the Alexandria database: a geometry-optimized K2SrIn7 structure (GGA-PBE).

Output
The value obtained for the energy of formation from the pure elements is -0.2511 eV/atom. As for the crystal system: orthorhombic.

a = 5.0887 Å, b = 12.0822 Å, c = 20.1794 Å
α = 90.00°, β = 90.00°, γ = 90.00°
Last column: nearest neighbours and their distance in Å.
Space group Cmcm (No. 63)
Symmetry-distinct sites (fractional):
1 K 0.0000 0.1606 0.0520 [8 per cell]  9 In 3.55-3.85, 2 K 3.94
2 Sr 0.0000 0.3411 0.2500 [4 per cell]  15 In 3.53-3.91
3 In 0.0000 0.0454 0.2500 [4 per cell]  6 In 3.14-3.17
4 In 0.0000 0.1213 0.6306 [8 per cell]  4 In 2.97-3.14
5 In 0.0000 0.3608 0.6749 [8 per cell]  5 In 3.02-3.17
6 In 0.0000 0.4585 0.0718 [8 per cell]  4 In 2.97-3.07


Entry 8:
Entry from the Alexandria database: a geometry-optimized K4SrIn structure (GGA-PBE).

Output
The value obtained for the energy of formation from the pure elements is 0.2201 eV/atom. As for the crystal system: cubic.

a = 10.9008 Å, b = 10.9008 Å, c = 10.9008 Å
α = 90.00°, β = 90.00°, γ = 90.00°
Last column: nearest neighbours and their distance in Å.
Space group F-43m (No. 216)
Symmetry-distinct sites (fractional):
1 K 0.1237 0.1237 0.3763 [16 per cell]  6 K 3.81-3.90
2 Sr 0.0000 0.0000 0.0000 [4 per cell]  12 K 4.52, 4 In 4.72
3 In 0.2500 0.2500 0.7500 [4 per cell]  12 K 4.51, 4 Sr 4.72


Entry 9:
Entry from the Alexandria database: a geometry-optimized KSr2In structure (GGA-PBE).

Output
The value obtained for the energy of formation from the pure elements is 0.0242 eV/atom. As for the crystal system: cubic.

a = 8.7335 Å, b = 8.7335 Å, c = 8.7335 Å
α = 90.00°, β = 90.00°, γ = 90.00°
Last column: nearest neighbours and their distance in Å.
Space group F-43m (No. 216)
Symmetry-distinct sites (fractional):
1 K 0.0000 0.0000 0.0000 [4 per cell]  4 Sr 3.78, 4 In 3.78
2 Sr 0.0000 0.0000 0.5000 [4 per cell]  4 In 3.78, 4 Sr 3.78
3 Sr 0.2500 0.2500 0.2500 [4 per cell]  4 Sr 3.78, 4 K 3.78
4 In 0.2500 0.2500 0.7500 [4 per cell]  4 K 3.78, 4 Sr 3.78


Entry 10:
Entry from the Alexandria database: a geometry-optimized KSr2In structure (GGA-PBE).

Output
The value obtained for the energy of formation from the pure elements is 0.0113 eV/atom. As for the crystal system: tetragonal.

a = 5.5330 Å, b = 5.5330 Å, c = 11.1323 Å
α = 90.00°, β = 90.00°, γ = 90.00°
Last column: nearest neighbours and their distance in Å.
Space group I-4m2 (No. 119)
Symmetry-distinct sites (fractional):
1 K 0.0000 0.0000 0.0000 [2 per cell]  8 Sr 3.91-3.92, 4 In 3.92
2 Sr 0.0000 0.0000 0.5000 [2 per cell]  4 K 3.91, 4 In 3.92, 4 Sr 3.92
3 Sr 0.0000 0.5000 0.7500 [2 per cell]  4 In 3.91, 4 K 3.92, 4 Sr 3.92
4 In 0.0000 0.5000 0.2500 [2 per cell]  8 Sr 3.91-3.92, 4 K 3.92


Entry 11:
Entry from the Alexandria database: a geometry-optimized KSr2In structure (GGA-PBE).

Output
The value obtained for the energy of formation from the pure elements is -0.0878 eV/atom. As for the crystal system: trigonal.

a = 4.3294 Å, b = 4.3294 Å, c = 37.2215 Å
α = 90.00°, β = 90.00°, γ = 120.00°
Last column: nearest neighbours and their distance in Å.
Space group R3m (No. 160, hexagonal axes)
Symmetry-distinct sites (fractional):
1 K 0.0000 0.0000 0.0000 [3 per cell]  6 K 4.33, 6 Sr 4.61-4.62
2 Sr 0.0000 0.0000 0.5622 [3 per cell]  3 In 3.41
3 Sr 0.0000 0.0000 0.7707 [3 per cell]  3 In 3.41
4 In 0.0000 0.0000 0.1664 [3 per cell]  6 Sr 3.41


Entry 12:
Entry from the Alexandria database: a geometry-optimized KSr2In structure (GGA-PBE).

Output
The value obtained for the energy of formation from the pure elements is -0.1858 eV/atom. As for the crystal system: tetragonal.

a = 4.1268 Å, b = 4.1268 Å, c = 11.1414 Å
α = 90.00°, β = 90.00°, γ = 90.00°
Last column: nearest neighbours and their distance in Å.
Space group P4/mmm (No. 123)
Symmetry-distinct sites (fractional):
1 K 0.0000 0.0000 0.0000 [1 per cell]  4 K 4.13
2 Sr 0.5000 0.5000 0.3259 [2 per cell]  4 In 3.50, 1 Sr 3.88
3 In 0.0000 0.0000 0.5000 [1 per cell]  8 Sr 3.50


Entry 13:
Entry from the Alexandria database: a geometry-optimized KSr2In structure (GGA-PBE).

Output
The value obtained for the energy of formation from the pure elements is -0.0769 eV/atom. As for the crystal system: trigonal.

a = 4.2600 Å, b = 4.2600 Å, c = 37.7240 Å
α = 90.00°, β = 90.00°, γ = 120.00°
Last column: nearest neighbours and their distance in Å.
Space group R-3m (No. 166, hexagonal axes)
Symmetry-distinct sites (fractional):
1 K 0.0000 0.0000 0.0000 [3 per cell]  6 K 4.26, 6 Sr 4.56
2 Sr 0.0000 0.0000 0.2315 [6 per cell]  3 In 3.47
3 In 0.0000 0.0000 0.5000 [3 per cell]  6 Sr 3.47